Here is an optimized crystal structure of Ga2CI from Alexandria. Energies are from PBE.

CIF file:
```
data_Ga2CI
_symmetry_space_group_name_H-M 'P 1'
_symmetry_Int_Tables_number 1
_cell_length_a 6.233
_cell_length_b 6.233
_cell_length_c 6.233
_cell_angle_alpha 121.75
_cell_angle_beta 121.75
_cell_angle_gamma 86.99
loop_
_symmetry_equiv_pos_as_xyz
'x,y,z'
loop_
_atom_site_label
_atom_site_type_symbol
_atom_site_fract_x
_atom_site_fract_y
_atom_site_fract_z
_atom_site_occupancy
Ga1 Ga 0.375 0.235 0.360 1
Ga2 Ga 0.765 0.125 0.140 1
Ga3 Ga 0.875 0.015 0.640 1
Ga4 Ga 0.985 0.625 0.860 1
C1 C 0.000 0.000 0.000 1
C2 C 0.750 0.250 0.500 1
I1 I 0.250 0.750 0.500 1
I2 I 0.500 0.500 0.000 1
```

Computed properties:
DOS(E_F) in states/eV/atom: 0.714
Polymorph energy (0 for the lowest one) in kJ/mol of formula units: 0
Total DFT energy (no corrections) in eV per atom: -3.81
Formation energy from raw total energies in meV/atom: 400.8

***

Here is an optimized crystal structure of Ac4CoAu from Alexandria. Energies are from PBE.

CIF file:
```
data_Ac4CoAu
_symmetry_space_group_name_H-M 'P 1'
_symmetry_Int_Tables_number 1
_cell_length_a 7.389
_cell_length_b 7.801
_cell_length_c 8.768
_cell_angle_alpha 108.97
_cell_angle_beta 114.85
_cell_angle_gamma 90.05
loop_
_symmetry_equiv_pos_as_xyz
'x,y,z'
loop_
_atom_site_label
_atom_site_type_symbol
_atom_site_fract_x
_atom_site_fract_y
_atom_site_fract_z
_atom_site_occupancy
Ac1 Ac 0.060 0.471 0.220 1
Ac2 Ac 0.160 0.972 0.220 1
Ac3 Ac 0.307 0.848 0.706 1
Ac4 Ac 0.398 0.348 0.706 1
Ac5 Ac 0.602 0.652 0.294 1
Ac6 Ac 0.693 0.152 0.294 1
Ac7 Ac 0.840 0.028 0.780 1
Ac8 Ac 0.940 0.529 0.780 1
Co1 Co 0.000 0.500 0.500 1
Co2 Co 0.500 0.000 0.500 1
Au1 Au 0.295 0.250 0.000 1
Au2 Au 0.705 0.750 0.000 1
```

Computed properties:
DOS(E_F) in states/eV/atom: 1.086
ΔH_f (0 K) in meV/atom: -210.5
Polymorph energy (0 for the lowest one) in kJ/mol of formula units: 23
Total DFT energy (no corrections) in eV per atom: -4.68

***

Here is an optimized crystal structure of NiRh3 from Alexandria. Energies are from PBE.

CIF file:
```
data_NiRh3
_symmetry_space_group_name_H-M 'P 1'
_symmetry_Int_Tables_number 1
_cell_length_a 4.276
_cell_length_b 4.276
_cell_length_c 4.276
_cell_angle_alpha 60.00
_cell_angle_beta 60.00
_cell_angle_gamma 60.00
loop_
_symmetry_equiv_pos_as_xyz
'x,y,z'
loop_
_atom_site_label
_atom_site_type_symbol
_atom_site_fract_x
_atom_site_fract_y
_atom_site_fract_z
_atom_site_occupancy
Ni1 Ni 0.000 0.000 0.000 1
Rh1 Rh 0.250 0.250 0.250 1
Rh2 Rh 0.500 0.500 0.500 1
Rh3 Rh 0.750 0.750 0.750 1
```

Computed properties:
DOS(E_F) in states/eV/atom: 2.412
ΔH_f (0 K) in meV/atom: 271.4
Total DFT energy (no corrections) in eV per atom: -6.69

***

Here is an optimized crystal structure of Si2TcAg from Alexandria. Energies are from PBE.

CIF file:
```
data_Si2TcAg
_symmetry_space_group_name_H-M 'P 1'
_symmetry_Int_Tables_number 1
_cell_length_a 4.642
_cell_length_b 4.642
_cell_length_c 4.398
_cell_angle_alpha 104.59
_cell_angle_beta 104.59
_cell_angle_gamma 40.21
loop_
_symmetry_equiv_pos_as_xyz
'x,y,z'
loop_
_atom_site_label
_atom_site_type_symbol
_atom_site_fract_x
_atom_site_fract_y
_atom_site_fract_z
_atom_site_occupancy
Si1 Si 0.000 0.000 0.000 1
Si2 Si 0.247 0.247 0.654 1
Tc1 Tc 0.522 0.522 0.571 1
Ag1 Ag 0.753 0.753 0.179 1
```

Computed properties:
DOS(E_F) in states/eV/atom: 0.164
Polymorph energy (0 for the lowest one) in kJ/mol of formula units: 19
Total DFT energy (no corrections) in eV per atom: -6.02
Formation energy from raw total energies in meV/atom: -8.6